[1]
FeIr2Rh, relaxed, DFT GGA-PBEsol; formation energy from the elements = -4.4 kJ/mol of atoms; spin magnetization = 2.7 Bohr magnetons per cell
1.0
-1.878 1.878 3.754
1.878 -1.878 3.754
1.878 1.878 -3.754
Fe Ir Rh
1 2 1
Cartesian
0.000 0.000 0.000
0.000 0.000 3.754
0.000 1.878 1.877
1.878 0.000 1.877

=====

[2]
Fe2IrRh, relaxed, DFT GGA-PBEsol; formation energy from the elements = 0.0 kJ/mol of atoms; spin magnetization = 4.3 Bohr magnetons per cell
1.0
3.716 0.000 0.000
0.000 3.716 0.000
0.000 0.000 3.582
Fe Ir Rh
2 1 1
Cartesian
0.000 1.858 0.000
1.858 0.000 0.000
0.000 0.000 1.791
1.858 1.858 1.791